[1]
Below is K2RbTlGe after structural relaxation, with properties calculated at the PBE level.

Output
Energy of formation in eV per atom: 0.05
Total energy in eV per atom: -1.979
Total moment in Bohr magnetons per cell: 0.0
SG: No. 123

Structure (POSCAR):
```
K2RbTlGe
1.0
6.7414 0.0000 0.0000
0.0000 6.7414 0.0000
0.0000 0.0000 5.5419
K Rb Tl Ge
2 1 1 1
direct
0.0000 0.5000 0.0000
0.5000 0.0000 0.0000
0.0000 0.0000 0.5000
0.5000 0.5000 0.5000
0.5000 0.5000 0.0000
```



[2]
Below is KRb2TlGe after structural relaxation, with properties calculated at the PBE level.

Output
Energy of formation in eV per atom: 0.09
Total energy in eV per atom: -1.912
Total moment in Bohr magnetons per cell: 0.0
SG: No. 123

Structure (POSCAR):
```
KRb2TlGe
1.0
7.1316 0.0000 0.0000
0.0000 7.1316 0.0000
0.0000 0.0000 5.4866
K Rb Tl Ge
1 2 1 1
direct
0.0000 0.0000 0.0000
0.0000 0.5000 0.5000
0.5000 0.0000 0.5000
0.5000 0.5000 0.0000
0.5000 0.5000 0.5000
```



[3]
Below is KRbVGe2 after structural relaxation, with properties calculated at the PBE level.

Output
Energy of formation in eV per atom: 0.23
Total energy in eV per atom: -3.853
Total moment in Bohr magnetons per cell: 1.7
SG: No. 123

Structure (POSCAR):
```
KRbVGe2
1.0
4.9587 0.0000 0.0000
0.0000 4.9587 0.0000
0.0000 0.0000 5.9494
K Rb V Ge
1 1 1 2
direct
0.0000 0.0000 0.0000
0.5000 0.5000 0.0000
0.0000 0.0000 0.5000
0.0000 0.5000 0.5000
0.5000 0.0000 0.5000
```



[4]
Below is KRb2ZrGe after structural relaxation, with properties calculated at the PBE level.

Output
Energy of formation in eV per atom: 0.57
Total energy in eV per atom: -2.673
Total moment in Bohr magnetons per cell: 1.4
SG: No. 123

Structure (POSCAR):
```
KRb2ZrGe
1.0
7.1559 0.0000 0.0000
0.0000 7.1559 0.0000
0.0000 0.0000 5.2838
K Rb Zr Ge
1 2 1 1
direct
0.0000 0.0000 0.0000
0.0000 0.5000 0.5000
0.5000 0.0000 0.5000
0.5000 0.5000 0.5000
0.5000 0.5000 0.0000
```



What did the fourth record say?
Below is KRb2ZrGe after structural relaxation, with properties calculated at the PBE level.

Output
Energy of formation in eV per atom: 0.57
Total energy in eV per atom: -2.673
Total moment in Bohr magnetons per cell: 1.4
SG: No. 123

Structure (POSCAR):
```
KRb2ZrGe
1.0
7.1559 0.0000 0.0000
0.0000 7.1559 0.0000
0.0000 0.0000 5.2838
K Rb Zr Ge
1 2 1 1
direct
0.0000 0.0000 0.0000
0.0000 0.5000 0.5000
0.5000 0.0000 0.5000
0.5000 0.5000 0.5000
0.5000 0.5000 0.0000
```



Q: Which of these has the lowest total energy?
A: KRbVGe2



Please write out number 3 again, unchanged.
Below is KRbVGe2 after structural relaxation, with properties calculated at the PBE level.

Output
Energy of formation in eV per atom: 0.23
Total energy in eV per atom: -3.853
Total moment in Bohr magnetons per cell: 1.7
SG: No. 123

Structure (POSCAR):
```
KRbVGe2
1.0
4.9587 0.0000 0.0000
0.0000 4.9587 0.0000
0.0000 0.0000 5.9494
K Rb V Ge
1 1 1 2
direct
0.0000 0.0000 0.0000
0.5000 0.5000 0.0000
0.0000 0.0000 0.5000
0.0000 0.5000 0.5000
0.5000 0.0000 0.5000
```



Q: What is the energy of formation in the first record?
A: 0.05 eV per atom